MgSnPb | PBE | optimized geometry

The space group is P3m1 (No. 156) and the conventional cell measures 5.2237, 5.2237 and 3.4897 Å, with angles of 90.00, 90.00 and 120.00 degrees. The asymmetric unit holds Mg at (0.0000, 0.0000, 0.0000), Sn at (0.6667, 0.3333, 0.1517) and Pb at (0.3333, 0.6667, 0.5485).

The calculation puts the total magnetization at 0.00 μB per cell. The calculation puts the formation energy at 16 meV per atom.

---

NbZnHg2Rh | PBE | optimized geometry

The space group is P4/mmm (No. 123) and the conventional cell measures 5.257, 5.257 and 4.967 Å, with angles of 90.00, 90.00 and 90.00 degrees. The asymmetric unit holds Nb at (0.000, 0.000, 0.000), Zn at (0.000, 0.000, 0.500), Hg at (0.000, 0.500, 0.000) and Rh at (0.500, 0.500, 0.500).

The calculation puts the total magnetization at 0.00 μB per cell. The calculation puts the formation energy at 1451 meV per atom.

---

TlCuO | PBE | optimized geometry

The space group is P-6m2 (No. 187) and the conventional cell measures 3.3959, 3.3959 and 4.9887 Å, with angles of 90.00, 90.00 and 120.00 degrees. The asymmetric unit holds Tl at (0.0000, 0.0000, 0.0000), Cu at (0.3333, 0.6667, 0.5000) and O at (0.6667, 0.3333, 0.5000).

The calculation puts the total magnetization at 0.00 μB per cell. As for the raw total energy: -4.147 eV per atom.

---

ZrMn2Al | PBE | optimized geometry

The space group is P4/mmm (No. 123) and the conventional cell measures 3.172, 3.172 and 5.914 Å, with angles of 90.00, 90.00 and 90.00 degrees. The asymmetric unit holds Zr at (0.000, 0.000, 0.000), Mn at (0.500, 0.500, 0.276) and Al at (0.000, 0.000, 0.500).

The calculation puts the total magnetization at 2.95 μB per cell. The calculation puts the formation energy at -124 meV per atom.

---

AcSmAl2Ga2 | PBE | optimized geometry

The space group is P-3m1 (No. 164) and the conventional cell measures 4.3708, 4.3708 and 8.9553 Å, with angles of 90.00, 90.00 and 120.00 degrees. The asymmetric unit holds Ac at (0.0000, 0.0000, 0.0000), Sm at (0.0000, 0.0000, 0.5000), Al at (0.3333, 0.6667, 0.7327) and Ga at (0.3333, 0.6667, 0.2717).

The calculation puts the total magnetization at 0.00 μB per cell. The calculation puts the formation energy at -562 meV per atom.

---

AcAu2Se3 | PBE | optimized geometry

The space group is Cmcm (No. 63) and the conventional cell measures 9.082, 12.452 and 5.514 Å, with angles of 90.00, 90.00 and 90.00 degrees. The asymmetric unit holds Ac at (0.000, 0.217, 0.250), Au at (0.228, 0.500, 0.000), Se at (0.000, 0.375, 0.750) and Se at (0.193, 0.168, 0.750).

The calculation puts the total magnetization at 0.00 μB per cell. As for the raw total energy: -4.208 eV per atom.

---

V2CdMo2 | PBE | optimized geometry

The space group is P4/mbm (No. 127) and the conventional cell measures 7.234, 7.234 and 3.079 Å, with angles of 90.00, 90.00 and 90.00 degrees. The asymmetric unit holds V at (0.135, 0.365, 0.000), Cd at (0.000, 0.000, 0.000) and Mo at (0.165, 0.665, 0.500).

The calculation puts the total magnetization at 0.00 μB per cell. The calculation puts the formation energy at 379 meV per atom.

---

Th4Bi2POs | PBE | optimized geometry

The space group is P2/m (No. 10) and the conventional cell measures 7.523, 4.275 and 7.835 Å, with angles of 90.00, 108.51 and 90.00 degrees. The asymmetric unit holds Th at (0.224, 0.000, 0.203), Th at (0.256, 0.500, 0.789), Bi at (0.000, 0.000, 0.500), Bi at (0.500, 0.500, 0.500), P at (0.500, 0.000, 0.000) and Os at (0.000, 0.500, 0.000).

The calculation puts the total magnetization at 0.00 μB per cell. The calculation puts the formation energy at -758 meV per atom.

---

RbPuBr2Cl | PBE | optimized geometry

The space group is P4mm (No. 99) and the conventional cell measures 5.901, 5.901 and 5.538 Å, with angles of 90.00, 90.00 and 90.00 degrees. The asymmetric unit holds Rb at (0.000, 0.000, 0.000), Pu at (0.500, 0.500, 0.496), Br at (0.000, 0.500, 0.495) and Cl at (0.500, 0.500, 0.996).

The calculation puts the total magnetization at 5.99 μB per cell. As for the raw total energy: -5.701 eV per atom.

---

Na3AgHg12 | PBE | optimized geometry

The space group is P4/mmm (No. 123) and the conventional cell measures 4.697, 4.697 and 18.052 Å, with angles of 90.00, 90.00 and 90.00 degrees. The asymmetric unit holds Na at (0.000, 0.000, 0.000), Na at (0.000, 0.000, 0.258), Ag at (0.000, 0.000, 0.500), Hg at (0.000, 0.500, 0.128), Hg at (0.000, 0.500, 0.383), Hg at (0.500, 0.500, 0.000), Hg at (0.500, 0.500, 0.258) and Hg at (0.500, 0.500, 0.500).

The calculation puts the total magnetization at 0.00 μB per cell. The calculation puts the formation energy at -109 meV per atom.

---

Np2Be4Si3Ir | PBE | optimized geometry

The space group is P-4m2 (No. 115) and the conventional cell measures 3.821, 3.821 and 9.742 Å, with angles of 90.00, 90.00 and 90.00 degrees. The asymmetric unit holds Np at (0.000, 0.500, 0.247), Be at (0.000, 0.000, 0.000), Be at (0.000, 0.500, 0.635), Be at (0.500, 0.500, 0.000), Si at (0.000, 0.500, 0.868), Si at (0.500, 0.500, 0.500) and Ir at (0.000, 0.000, 0.500).

The calculation puts the total magnetization at 7.70 μB per cell. As for the raw total energy: -6.875 eV per atom.

---

Ti3Ga2Pt4 | PBE | optimized geometry

The space group is C2/m (No. 12) and the conventional cell measures 7.820, 4.578 and 8.459 Å, with angles of 90.00, 104.89 and 90.00 degrees. The asymmetric unit holds Ti at (0.000, 0.000, 0.000), Ti at (0.140, 0.500, 0.752), Ga at (0.220, 0.500, 0.395), Pt at (0.038, 0.000, 0.329) and Pt at (0.192, 0.500, 0.071).

The calculation puts the total magnetization at 0.00 μB per cell. The calculation puts the formation energy at -790 meV per atom.